1.
Material: FeMo3Rh
Method: DFT, PBE-GGA
State: relaxed

Summary:
As for the total moment: 0.0 μB/cell. The space group is No. 221. As for the energy relative to the lowest polymorph listed for this composition: 0 meV/atom. The density of states at the Fermi level comes out at 5.21 states/eV per cell.

```
5
Lattice="4.400 0.000 0.000 0.000 4.400 0.000 0.000 0.000 4.400" Properties=species:S:1:pos:R:3 pbc="T T T"
Fe 0.000 0.000 0.000
Mo 0.000 0.000 2.200
Mo 0.000 2.200 0.000
Mo 2.200 0.000 0.000
Rh 2.200 2.200 2.200
```

2.
Material: FeMoRh4
Method: DFT, PBE-GGA
State: relaxed

Summary:
As for the total moment: 6.7 μB/cell. The space group is No. 51. As for the energy relative to the lowest polymorph listed for this composition: 191 meV/atom. The density of states at the Fermi level comes out at 15.77 states/eV per cell.

```
12
Lattice="5.382 0.000 0.000 0.000 7.461 0.000 0.000 0.000 4.344" Properties=species:S:1:pos:R:3 pbc="T T T"
Fe 1.345 0.000 0.010
Fe 4.036 0.000 4.334
Mo 1.345 3.731 2.186
Mo 4.036 3.731 2.158
Rh 0.000 1.227 2.172
Rh 0.000 2.464 0.000
Rh 0.000 4.997 0.000
Rh 0.000 6.234 2.172
Rh 2.691 1.227 2.172
Rh 2.691 2.464 0.000
Rh 2.691 4.997 0.000
Rh 2.691 6.234 2.172
```

3.
Material: FeMo2Rh
Method: DFT, PBE-GGA
State: relaxed

Summary:
As for the total moment: 3.0 μB/cell. The space group is No. 99. As for the energy relative to the lowest polymorph listed for this composition: 98 meV/atom. The density of states at the Fermi level comes out at 5.59 states/eV per cell.

```
4
Lattice="3.149 0.000 0.000 0.000 3.149 0.000 0.000 0.000 5.903" Properties=species:S:1:pos:R:3 pbc="T T T"
Fe 0.000 0.000 0.000
Mo 0.000 0.000 2.889
Mo 1.574 1.574 1.389
Rh 1.574 1.574 4.487
```

4.
Material: FeMo2Rh
Method: DFT, PBE-GGA
State: relaxed

Summary:
As for the total moment: 0.5 μB/cell. The space group is No. 166. As for the energy relative to the lowest polymorph listed for this composition: 151 meV/atom. The density of states at the Fermi level comes out at 5.75 states/eV per cell.

```
4
Lattice="1.364 0.787 8.810 -1.364 0.787 8.810 0.000 -1.574 8.810" Properties=species:S:1:pos:R:3 pbc="T T T"
Fe 0.000 0.000 0.000
Mo 0.000 0.000 6.692
Mo 0.000 0.000 19.738
Rh 0.000 0.000 13.215
```

5.
Material: Fe2MoRh
Method: DFT, PBE-GGA
State: relaxed

Summary:
As for the total moment: 3.6 μB/cell. The space group is No. 119. The density of states at the Fermi level comes out at 4.21 states/eV per cell. The uncorrected energy comes out at -8.7743 eV/atom.

```
4
Lattice="-1.858 1.858 3.826 1.858 -1.858 3.826 1.858 1.858 -3.826" Properties=species:S:1:pos:R:3 pbc="T T T"
Fe 0.000 0.000 0.000
Fe 0.000 1.858 1.913
Mo 1.858 0.000 1.913
Rh 0.000 0.000 3.826
```

6.
Material: Fe3MoRh6
Method: DFT, PBE-GGA
State: relaxed

Summary:
As for the total moment: 19.0 μB/cell. The space group is No. 11. The density of states at the Fermi level comes out at 22.87 states/eV per cell. The uncorrected energy comes out at -8.1087 eV/atom.

```
20
Lattice="8.365 0.000 0.000 0.000 3.848 0.000 -0.304 0.000 8.595" Properties=species:S:1:pos:R:3 pbc="T T T"
Fe 0.322 0.962 3.403
Fe 1.203 2.886 1.682
Fe 1.753 0.962 8.572
Fe 6.307 2.886 0.022
Fe 6.858 0.962 6.913
Fe 7.739 2.886 5.192
Mo 3.509 0.962 5.251
Mo 4.551 2.886 3.344
Rh 0.114 2.886 7.736
Rh 0.953 0.962 5.965
Rh 1.926 2.886 4.263
Rh 2.656 2.886 6.841
Rh 2.847 0.962 2.571
Rh 3.686 2.886 0.849
Rh 4.374 0.962 7.746
Rh 5.213 2.886 6.024
Rh 5.404 0.962 1.754
Rh 6.134 0.962 4.332
Rh 7.108 2.886 2.630
Rh 7.947 0.962 0.859
```

7.
Material: FeMo2Rh
Method: DFT, PBE-GGA
State: relaxed

Summary:
As for the total moment: 1.7 μB/cell. The space group is No. 8. As for the energy relative to the lowest polymorph listed for this composition: 61 meV/atom. The density of states at the Fermi level comes out at 4.05 states/eV per cell.

```
4
Lattice="4.476 -1.353 0.000 4.476 1.353 0.000 -0.752 0.000 4.741" Properties=species:S:1:pos:R:3 pbc="T T T"
Fe 0.000 0.000 0.000
Mo 1.674 0.000 3.729
Mo 4.024 0.000 2.332
Rh 6.438 0.000 1.256
```

8.
Material: Fe2MoRh
Method: DFT, PBE-GGA
State: relaxed

Summary:
As for the total moment: 2.7 μB/cell. The space group is No. 123. The density of states at the Fermi level comes out at 3.95 states/eV per cell. The uncorrected energy comes out at -8.7720 eV/atom.

```
4
Lattice="3.759 0.000 0.000 0.000 3.759 0.000 0.000 0.000 3.695" Properties=species:S:1:pos:R:3 pbc="T T T"
Fe 0.000 1.879 0.000
Fe 1.879 0.000 0.000
Mo 0.000 0.000 1.847
Rh 1.879 1.879 1.847
```

9.
Material: Fe2MoRh
Method: DFT, PBE-GGA
State: relaxed

Summary:
As for the total moment: 5.3 μB/cell. The space group is No. 47. The density of states at the Fermi level comes out at 4.83 states/eV per cell. The uncorrected energy comes out at -8.6136 eV/atom.

```
4
Lattice="2.857 0.000 0.000 0.000 4.345 0.000 0.000 0.000 4.419" Properties=species:S:1:pos:R:3 pbc="T T T"
Fe 0.000 0.000 0.000
Fe 1.429 0.000 2.209
Mo 0.000 2.173 2.209
Rh 1.429 2.173 0.000
```

10.
Material: Fe2MoRh
Method: DFT, PBE-GGA
State: relaxed

Summary:
As for the total moment: 4.4 μB/cell. The space group is No. 12. The density of states at the Fermi level comes out at 5.54 states/eV per cell. The uncorrected energy comes out at -8.6838 eV/atom.

```
4
Lattice="4.394 -1.337 0.000 4.394 1.337 0.000 -0.793 0.000 4.589" Properties=species:S:1:pos:R:3 pbc="T T T"
Fe 1.959 0.000 1.136
Fe 6.036 0.000 3.452
Mo -0.396 0.000 2.294
Rh 4.394 0.000 0.000
```

11.
Material: Fe2MoRh
Method: DFT, PBE-GGA
State: relaxed

Summary:
As for the total moment: 5.3 μB/cell. The space group is No. 65. The density of states at the Fermi level comes out at 4.65 states/eV per cell. The uncorrected energy comes out at -8.6775 eV/atom.

```
4
Lattice="1.863 -1.876 0.000 1.863 1.876 0.000 0.000 0.000 7.748" Properties=species:S:1:pos:R:3 pbc="T T T"
Fe 0.000 0.000 1.840
Fe 0.000 0.000 5.908
Mo 1.863 0.000 3.874
Rh 1.863 0.000 0.000
```

12.
Material: FeMo2Rh
Method: DFT, PBE-GGA
State: relaxed

Summary:
As for the total moment: 2.5 μB/cell. The space group is No. 225. As for the energy relative to the lowest polymorph listed for this composition: 286 meV/atom. The density of states at the Fermi level comes out at 6.71 states/eV per cell.

```
4
Lattice="0.000 3.079 3.079 3.079 0.000 3.079 3.079 3.079 0.000" Properties=species:S:1:pos:R:3 pbc="T T T"
Fe 0.000 0.000 0.000
Mo 1.539 1.539 1.539
Mo 4.618 4.618 4.618
Rh 3.079 3.079 3.079
```